TlAgAs3, relaxed, DFT GGA-PBE; electronic total energy = -3.11 eV per atom; ΔE to the lowest computed polymorph = 0.0 meV/atom; ΔH_f (0 K) = 727 meV per atom
1.0
-0.201 -0.274 -5.123
-3.515 -3.728 0.337
-3.738 3.520 -0.042
Tl As Ag
1 3 1
Direct
0.500 0.500 0.500 Tl
0.000 0.500 0.000 As
0.000 0.000 0.500 As
0.500 0.000 0.000 As
0.000 0.000 0.000 Ag



Ti2GaRh, relaxed, DFT GGA-PBE; electronic total energy = -7.13 eV per atom; ΔH_f (0 K) = -586 meV per atom
1.0
3.807 0.000 0.000
0.000 4.007 0.000
0.000 0.000 4.007
Rh Ga Ti
1 1 2
Direct
0.500 0.500 0.500 Rh
0.500 0.000 0.000 Ga
0.000 0.000 0.500 Ti
0.000 0.500 0.000 Ti



ScHgCl2, relaxed, DFT GGA-PBE; electronic total energy = -3.86 eV per atom; ΔE to the lowest computed polymorph = 111.7 meV/atom
1.0
3.222 0.000 0.000
0.000 3.222 0.000
0.000 0.000 9.914
Sc Hg Cl
1 1 2
Direct
0.500 0.500 0.750 Sc
0.500 0.500 0.250 Hg
0.000 0.000 0.904 Cl
0.000 0.000 0.596 Cl



Tb2NdEr3, relaxed, DFT GGA-PBE; electronic total energy = -4.55 eV per atom; ΔE to the lowest computed polymorph = 54.0 meV/atom; ΔH_f (0 K) = 69 meV per atom
1.0
6.574 0.499 -0.510
-1.102 6.500 -0.510
-0.558 -0.714 8.878
Tb Nd Er
4 2 6
Direct
0.871 0.376 0.125 Tb
0.624 0.129 0.375 Tb
0.129 0.624 0.875 Tb
0.376 0.871 0.625 Tb
0.092 0.908 0.250 Nd
0.908 0.092 0.750 Nd
0.162 0.329 0.495 Er
0.671 0.838 0.005 Er
0.838 0.671 0.505 Er
0.329 0.162 0.995 Er
0.425 0.575 0.250 Er
0.575 0.425 0.750 Er



Magnetization, respectively: 0.000 0.596 0.000 0.001 μB per cell.
N(E_F), respectively: 6.9 4.3 2.2 19.6 states/eV/cell.
Theoretical density, respectively: 6.59 7.29 5.11 8.43 Mg/m³.